Density functional theory data (PBE) for La2SeBr3 after structural relaxation.

Results
N(E_F) = 6.949 states/eV per cell
calculated density = 4.7 g/cm³
total magnetic moment = 0.98 μB per formula unit
raw formation energy = -1.879 eV/atom
final energy = -118.53 eV/cell

a = 17.731 Å, b = 4.420 Å, c = 12.747 Å
α = 90.00°, β = 122.90°, γ = 90.00°
Space group C2/m (No. 12)
Inequivalent atoms, fractional coordinates:
La 0.105 0.000 0.450 [4 per cell]
La 0.151 0.500 0.860 [4 per cell]
Se 0.092 0.000 0.672 [4 per cell]
Br 0.054 0.500 0.253 [4 per cell]
Br 0.146 0.000 0.025 [4 per cell]
Br 0.239 0.500 0.609 [4 per cell]